16
Lattice="3.5423 -4.7988 0.0000 3.5423 4.7988 0.0000 -2.9858 0.0000 7.0416" Properties=species:S:1:pos:R:3 comment="AcHfFeO5 | Alexandria | PBE with a Hubbard U | relaxed" n_ef_per_ev_atom=0.000 dft_energy_ev_per_atom=-8.45 m_tot_mub_per_cell=9.99 pbc="T T T"
Ac 1.3030 3.1575 5.2812
Ac 2.7959 -3.1575 1.7604
Hf 3.5423 0.0000 0.0000
Hf 2.0494 0.0000 3.5208
Fe 2.7959 3.0432 1.7604
Fe 1.3030 -3.0432 5.2812
O -1.3945 0.5263 6.4472
O 1.6209 1.9634 2.8151
O 0.0985 -0.5263 2.9264
O 3.9709 1.9634 0.7057
O 1.3030 0.6996 5.2812
O 2.7959 -0.6996 1.7604
O 0.1280 -1.9634 6.3359
O 4.0004 0.5263 4.1152
O 2.4780 -1.9634 4.2265
O 5.4933 -0.5263 0.5944